(1)
! RbNaY2Mn (PBE-GGA, relaxed); values from VASP
! - Theoretical density: 3.661 g/cm3
! - DOS at the Fermi energy: 7.1 states/eV/cell
! - E_form: 2.03 eV per atom
&SYSTEM
  ibrav = 0, nat = 5, ntyp = 4
/
ATOMIC_SPECIES
Y 88.91 Y.upf
Na 22.99 Na.upf
Rb 85.47 Rb.upf
Mn 54.94 Mn.upf
ATOMIC_POSITIONS crystal
Y 0.000 0.000 0.500
Y 0.500 0.000 0.000
Na 0.000 0.500 0.000
Rb 0.000 0.000 0.000
Mn 0.500 0.500 0.500
CELL_PARAMETERS angstrom
-4.709 2.156 2.081
-1.741 -4.582 0.807
2.269 0.036 5.099



(2)
! Cs2Rb5Sn4 (PBE-GGA, relaxed); values from VASP
! - Theoretical density: 2.889 g/cm3
! - DOS at the Fermi energy: 7.7 states/eV/cell
! - E_form: -0.09 eV per atom
&SYSTEM
  ibrav = 0, nat = 11, ntyp = 3
/
ATOMIC_SPECIES
Rb 85.47 Rb.upf
Cs 132.91 Cs.upf
Sn 118.71 Sn.upf
ATOMIC_POSITIONS crystal
Rb 0.000 0.500 0.500
Rb 0.635 0.325 0.899
Rb 0.141 0.325 0.899
Rb 0.859 0.675 0.101
Rb 0.365 0.675 0.101
Cs 0.739 0.117 0.404
Cs 0.261 0.883 0.596
Sn 0.759 0.719 0.763
Sn 0.241 0.281 0.237
Sn 0.423 0.994 0.161
Sn 0.577 0.006 0.839
CELL_PARAMETERS angstrom
-2.056 -6.712 -4.261
1.873 -8.406 4.425
-8.581 -4.829 3.835



(3)
! Ca2AlSb (PBE-GGA, relaxed); values from VASP
! - Theoretical density: 3.369 g/cm3
! - Formation energy from raw total energies: -0.4737 eV/atom
! - DOS at the Fermi energy: 3.0 states/eV/cell
! - Relative energy among the computed polymorphs: 0.18 eV/f.u.
&SYSTEM
  ibrav = 0, nat = 4, ntyp = 3
/
ATOMIC_SPECIES
Sb 121.76 Sb.upf
Ca 40.08 Ca.upf
Al 26.98 Al.upf
ATOMIC_POSITIONS crystal
Sb 0.534 0.534 0.466
Ca 0.761 0.761 0.739
Ca 0.992 0.992 0.008
Al 0.213 0.213 0.286
CELL_PARAMETERS angstrom
-4.427 -1.492 4.538
-0.743 -1.410 6.314
-1.327 3.888 2.573



- The highest DOS at the Fermi energy belongs to which entry?
  Cs2Rb5Sn4



- Number 1 is which compound?
  RbNaY2Mn



- Which of these has the highest DOS at the Fermi energy?
  Cs2Rb5Sn4



- Among the records above, which one has the lowest theoretical density?
  Cs2Rb5Sn4